{
  "formula": "Al2CSe",
  "functional": "PBE",
  "state": "relaxed",
  "lattice_angstrom": [[3.7655, 0.4174, -2.0828], [2.8797, -3.2239, 0.0731], [0.7574, -2.3035, -3.5793]],
  "species": ["C", "Al", "Al", "Se"],
  "fractional_positions": [[0.0000, 0.0000, 0.0000], [0.2500, 0.2500, 0.2500], [0.7500, 0.7500, 0.7500], [0.5000, 0.5000, 0.5000]],
  "mass_density_g_cm3": 4.212,
  "total_energy_ev_per_atom": -4.0274,
  "formation_energy_uncorrected_ev_per_atom": 1.0210,
  "m_tot_mub_per_fu": 0.00
}